# 1
Here is crystalline Sc2HgCl at its relaxed geometry from Alexandria. Energies are from GGA-PBE.

Properties
Symmetry   R-3m, No. 166
Offset from the most stable computed form   88 meV/atom
E_tot   -4.41 eV/atom
Formation energy without anion corrections   -272 kJ/mol of formula units

abc: 3.5945 3.5945 7.7380
angles: 76.58 76.58 59.95
Closest atoms and distances in Å follow each position.
Fractional positions:
Cl1 0.7500 0.7500 0.7500  6 Sc 2.63
Hg1 0.2500 0.2500 0.2500  6 Sc 2.97
Sc1 0.0115 0.0115 0.9658  3 Cl 2.63
Sc2 0.4885 0.4885 0.5342  3 Cl 2.63

# 2
Here is crystalline Pr3MgPb3 at its relaxed geometry from Alexandria. Energies are from GGA-PBE.

Properties
Energy of formation   -0.30 eV per atom
Symmetry   P6_3/m, No. 176
E_tot   -4.16 eV/atom

abc: 6.4676 9.5867 9.5867
angles: 120.00 90.00 90.00
Closest atoms and distances in Å follow each position.
Fractional positions:
Pr1 0.7500 0.6863 0.6364  5 Pb 3.17-3.29, 1 Mg 3.54
Pr2 0.7500 0.3636 0.0499  5 Pb 3.17-3.29, 1 Mg 3.54
Pr3 0.7500 0.9501 0.3137  5 Pb 3.17-3.29, 1 Mg 3.54
Pr4 0.2500 0.3137 0.3636  5 Pb 3.17-3.29, 1 Mg 3.54
Pr5 0.2500 0.6364 0.9501  5 Pb 3.17-3.29, 1 Mg 3.54
Pr6 0.2500 0.0499 0.6863  5 Pb 3.17-3.29, 1 Mg 3.54
Mg1 0.2500 0.6667 0.3333  3 Pb 2.93
Mg2 0.7500 0.3333 0.6667  3 Pb 2.93
Pb1 0.2500 0.6940 0.6519  1 Mg 2.93, 4 Pr 3.17-3.26
Pb2 0.2500 0.3481 0.0421  1 Mg 2.93, 4 Pr 3.17-3.26
Pb3 0.2500 0.9579 0.3060  1 Mg 2.93, 4 Pr 3.17-3.26
Pb4 0.7500 0.3060 0.3481  1 Mg 2.93, 4 Pr 3.17-3.26
Pb5 0.7500 0.6519 0.9579  1 Mg 2.93, 4 Pr 3.17-3.26
Pb6 0.7500 0.0421 0.6940  1 Mg 2.93, 4 Pr 3.17-3.26

Question: Among the records above, which one has the lowest E_tot?
Answer: Sc2HgCl

Question: The highest E_tot belongs to which entry?
Answer: Pr3MgPb3

Question: Among the records above, which one has the lowest E_tot?
Answer: Sc2HgCl

Question: Which formula does entry 1 have?
Answer: Sc2HgCl